No. 1
Ba2MgCrAu, optimized geometry, DFT PBE; ΔH_f (0 K) = 0.645 eV per atom; N(E_F) = 8.6 states/eV/f.u.
1.0
-1.227 4.787 -3.867
-3.810 1.536 3.111
4.043 3.600 3.173
Cr Au Ba Mg
1 1 2 1
Direct
0.500 0.500 0.500 Cr
0.000 0.000 0.000 Au
0.500 0.000 0.000 Ba
0.000 0.000 0.500 Ba
0.000 0.500 0.000 Mg

No. 2
Ta2As, optimized geometry, DFT PBE; ΔH_f (0 K) = 0.288 eV per atom; N(E_F) = 2.9 states/eV/f.u.
1.0
-0.006 -2.937 3.175
3.352 -2.695 0.459
2.687 0.443 3.361
Ta As
2 1
Direct
0.750 0.750 0.750 Ta
0.250 0.250 0.250 Ta
0.000 0.000 0.000 As

No. 3
Th2TeOs, optimized geometry, DFT PBE; offset from the most stable computed form = 50 meV per atom; formation energy from raw total energies = -0.787 eV/atom; N(E_F) = 1.5 states/eV/f.u.
1.0
-1.811 -1.464 3.483
2.338 -0.898 3.359
-0.741 6.491 4.864
Th Os Te
2 1 1
Direct
0.066 0.066 0.803 Th
0.268 0.268 0.197 Th
0.668 0.668 0.997 Os
0.499 0.499 0.503 Te

No. 4
ScTaTeI2, optimized geometry, DFT PBE; offset from the most stable computed form = 0 meV per atom; formation energy from raw total energies = 0.426 eV/atom; N(E_F) = 7.1 states/eV/f.u.
1.0
5.526 0.000 0.000
0.000 5.526 0.000
0.000 0.000 5.472
Ta I Te Sc
1 2 1 1
Direct
0.000 0.000 0.000 Ta
0.000 0.500 0.000 I
0.500 0.000 0.000 I
0.000 0.000 0.500 Te
0.500 0.500 0.500 Sc